Record 1
MgPaIn: relaxed, PBE.

Cell: 5.132 5.132 3.179 Å, 90.00 90.00 120.00°
Fractional positions:
Mg 0.000 0.000 0.000
Pa 0.667 0.333 0.500
In 0.333 0.667 0.000

Properties
As for the magnetization: 1.0 Bohr magnetons per cell. Its space group is P-6m2, No. 187. For the energy above the lowest structure with this stoichiometry, the calculation gives 0 meV/atom. The value obtained for the formation energy is 0.059 eV/atom.


Record 2
MnFe2Co: relaxed, PBE.

Cell: 2.493 3.550 5.013 Å, 90.00 90.00 90.00°
Fractional positions:
Mn 0.000 0.000 0.000
Fe 0.500 0.500 0.255
Fe 0.500 0.500 0.745
Co 0.000 0.000 0.500

Properties
As for the magnetization: 2.5 Bohr magnetons per cell. Its space group is Pmmm, No. 47. The value obtained for the formation energy is 0.042 eV/atom.


Record 3
NbSn3O: relaxed, PBE.

Cell: 4.659 4.659 4.659 Å, 90.00 90.00 90.00°
Fractional positions:
Nb 0.000 0.000 0.000
Sn 0.000 0.500 0.500
Sn 0.500 0.000 0.500
Sn 0.500 0.500 0.000
O 0.500 0.500 0.500

Properties
As for the magnetization: 1.3 Bohr magnetons per cell. The calculation puts the raw formation energy at 0.011 eV per atom. Its space group is Pm-3m, No. 221. For the energy above the lowest structure with this stoichiometry, the calculation gives 0 meV/atom.


Record 4
Be2WBr: relaxed, PBE.

Cell: 2.886 4.279 4.464 Å, 90.00 91.40 90.00°
Fractional positions:
Be 0.000 0.000 0.000
Be 0.006 0.500 0.710
W 0.495 0.000 0.527
Br 0.483 0.500 0.208

Properties
As for the magnetization: 0.0 Bohr magnetons per cell. The calculation puts the raw formation energy at 0.712 eV per atom. Its space group is Pm, No. 6. For the energy above the lowest structure with this stoichiometry, the calculation gives 325 meV/atom.


Record 5
CsAgRh3: relaxed, PBE.

Cell: 4.925 4.925 4.925 Å, 90.00 90.00 90.00°
Fractional positions:
Cs 0.000 0.000 0.000
Ag 0.500 0.500 0.500
Rh 0.000 0.000 0.500
Rh 0.000 0.500 0.000
Rh 0.500 0.000 0.000

Properties
As for the magnetization: 0.8 Bohr magnetons per cell. Its space group is Pm-3m, No. 221. For the energy above the lowest structure with this stoichiometry, the calculation gives 574 meV/atom. The value obtained for the formation energy is 2.014 eV/atom.


Record 6
Ca3Sb4Pd8: relaxed, PBE.

Cell: 9.413 9.413 9.413 Å, 60.00 60.00 60.00°
Fractional positions:
Ca 0.224 0.224 0.776
Ca 0.224 0.776 0.224
Ca 0.224 0.776 0.776
Ca 0.776 0.224 0.224
Ca 0.776 0.224 0.776
Ca 0.776 0.776 0.224
Sb 0.000 0.000 0.000
Sb 0.000 0.000 0.500
Sb 0.000 0.500 0.000
Sb 0.000 0.500 0.500
Sb 0.500 0.000 0.000
Sb 0.500 0.000 0.500
Sb 0.500 0.500 0.000
Sb 0.500 0.500 0.500
Pd 0.140 0.620 0.620
Pd 0.169 0.169 0.169
Pd 0.169 0.169 0.492
Pd 0.169 0.492 0.169
Pd 0.380 0.380 0.380
Pd 0.380 0.380 0.860
Pd 0.380 0.860 0.380
Pd 0.492 0.169 0.169
Pd 0.508 0.831 0.831
Pd 0.620 0.140 0.620
Pd 0.620 0.620 0.140
Pd 0.620 0.620 0.620
Pd 0.831 0.508 0.831
Pd 0.831 0.831 0.508
Pd 0.831 0.831 0.831
Pd 0.860 0.380 0.380

Properties
As for the magnetization: 0.0 Bohr magnetons per cell. The calculation puts the raw formation energy at -0.714 eV per atom. Its space group is Fm-3m, No. 225.


Record 7
CsLiMo2: relaxed, PBE.

Cell: 4.667 4.667 4.667 Å, 60.00 60.00 60.00°
Fractional positions:
Cs 0.000 0.000 0.000
Li 0.500 0.500 0.500
Mo 0.250 0.250 0.250
Mo 0.750 0.750 0.750

Properties
As for the magnetization: 0.0 Bohr magnetons per cell. Its space group is Fm-3m, No. 225. For the energy above the lowest structure with this stoichiometry, the calculation gives 625 meV/atom. The value obtained for the formation energy is 2.075 eV/atom.


Record 8
LaNbGe: relaxed, PBE.

Cell: 3.244 5.378 7.925 Å, 85.75 81.79 85.19°
Fractional positions:
La 0.000 0.000 0.000
La 0.151 0.532 0.705
Nb 0.089 0.227 0.370
Nb 0.827 0.741 0.349
Ge 0.504 0.493 0.107
Ge 0.593 0.028 0.633

Properties
As for the magnetization: 0.0 Bohr magnetons per cell. Its space group is P1, No. 1. The value obtained for the formation energy is -0.264 eV/atom.


Record 9
YPb4F10: relaxed, PBE.

Cell: 7.204 7.204 7.204 Å, 100.71 100.71 128.94°
Fractional positions:
Y 0.000 0.000 0.000
Pb 0.200 0.399 0.600
Pb 0.399 0.800 0.199
Pb 0.601 0.200 0.801
Pb 0.800 0.601 0.400
F 0.031 0.311 0.911
F 0.120 0.031 0.719
F 0.250 0.750 0.500
F 0.311 0.400 0.281
F 0.400 0.120 0.089
F 0.600 0.880 0.911
F 0.689 0.600 0.719
F 0.750 0.250 0.500
F 0.880 0.969 0.281
F 0.969 0.689 0.089

Properties
As for the magnetization: 0.0 Bohr magnetons per cell. The calculation puts the raw formation energy at -2.654 eV per atom. Its space group is I4/m, No. 87.


Record 10
TlHg2PdCl: relaxed, PBE.

Cell: 6.082 6.082 4.560 Å, 90.00 90.00 90.00°
Fractional positions:
Tl 0.000 0.000 0.000
Hg 0.000 0.500 0.500
Hg 0.500 0.000 0.500
Pd 0.500 0.500 0.000
Cl 0.500 0.500 0.500

Properties
As for the magnetization: 0.0 Bohr magnetons per cell. The calculation puts the raw formation energy at 0.125 eV per atom. Its space group is P4/mmm, No. 123. For the energy above the lowest structure with this stoichiometry, the calculation gives 407 meV/atom.


Record 11
Er3Pa2N4: relaxed, PBE.

Cell: 5.926 5.926 8.578 Å, 117.63 117.63 33.37°
Fractional positions:
Er 0.000 0.000 0.000
Er 0.206 0.206 0.811
Er 0.794 0.794 0.189
Pa 0.400 0.400 0.606
Pa 0.600 0.600 0.394
N 0.192 0.192 0.292
N 0.403 0.403 0.105
N 0.597 0.597 0.895
N 0.808 0.808 0.708

Properties
As for the magnetization: 0.6 Bohr magnetons per cell. The calculation puts the raw formation energy at -1.406 eV per atom. Its space group is C2/m, No. 12.


Record 12
MgPaCuAg: relaxed, PBE.

Cell: 4.853 4.853 4.853 Å, 60.00 60.00 60.00°
Fractional positions:
Mg 0.000 0.000 0.000
Pa 0.500 0.500 0.500
Cu 0.750 0.750 0.750
Ag 0.250 0.250 0.250

Properties
As for the magnetization: 0.0 Bohr magnetons per cell. Its space group is F-43m, No. 216. The value obtained for the formation energy is 0.095 eV/atom.


Record 13
Cd2In3Hg6Pb: relaxed, PBE.

Cell: 8.888 8.888 8.123 Å, 102.43 102.43 30.77°
Fractional positions:
Cd 0.168 0.168 0.495
Cd 0.832 0.832 0.505
In 0.164 0.164 0.988
In 0.500 0.500 0.000
In 0.836 0.836 0.012
Hg 0.006 0.006 0.246
Hg 0.325 0.325 0.260
Hg 0.331 0.331 0.751
Hg 0.669 0.669 0.249
Hg 0.675 0.675 0.740
Hg 0.994 0.994 0.754
Pb 0.500 0.500 0.500

Properties
As for the magnetization: 0.0 Bohr magnetons per cell. Its space group is C2/m, No. 12. The value obtained for the formation energy is 0.023 eV/atom.


Record 14
Ti2ZnFe: relaxed, PBE.

Cell: 5.486 5.486 5.486 Å, 102.76 102.76 123.94°
Fractional positions:
Ti 0.085 0.125 0.460
Ti 0.375 0.915 0.040
Ti 0.665 0.625 0.540
Ti 0.875 0.335 0.960
Zn 0.250 0.750 0.500
Zn 0.500 0.500 0.000
Fe 0.000 0.000 0.000
Fe 0.750 0.250 0.500

Properties
As for the magnetization: 0.0 Bohr magnetons per cell. Its space group is I-42d, No. 122. The value obtained for the formation energy is 0.157 eV/atom.


Record 15
La12Sb3H5: relaxed, PBE.

Cell: 14.299 14.299 14.299 Å, 109.47 109.47 109.47°
Fractional positions:
La 0.019 0.210 0.112
La 0.019 0.308 0.906
La 0.094 0.612 0.402
La 0.094 0.981 0.692
La 0.098 0.710 0.692
La 0.098 0.888 0.406
La 0.112 0.019 0.210
La 0.112 0.594 0.902
La 0.192 0.210 0.598
La 0.192 0.481 0.594
La 0.210 0.112 0.019
La 0.210 0.598 0.192
La 0.290 0.308 0.902
La 0.290 0.481 0.388
La 0.308 0.902 0.290
La 0.308 0.906 0.019
La 0.388 0.290 0.481
La 0.388 0.598 0.906
La 0.402 0.094 0.612
La 0.402 0.808 0.790
La 0.406 0.098 0.888
La 0.406 0.808 0.519
La 0.481 0.388 0.290
La 0.481 0.594 0.192
La 0.519 0.406 0.808
La 0.519 0.612 0.710
La 0.594 0.192 0.481
La 0.594 0.902 0.112
La 0.598 0.192 0.210
La 0.598 0.906 0.388
La 0.612 0.402 0.094
La 0.612 0.710 0.519
La 0.692 0.094 0.981
La 0.692 0.098 0.710
La 0.710 0.519 0.612
La 0.710 0.692 0.098
La 0.790 0.402 0.808
La 0.790 0.888 0.981
La 0.808 0.519 0.406
La 0.808 0.790 0.402
La 0.888 0.406 0.098
La 0.888 0.981 0.790
La 0.902 0.112 0.594
La 0.902 0.290 0.308
La 0.906 0.019 0.308
La 0.906 0.388 0.598
La 0.981 0.692 0.094
La 0.981 0.790 0.888
Sb 0.125 0.250 0.375
Sb 0.125 0.375 0.750
Sb 0.250 0.375 0.125
Sb 0.250 0.875 0.625
Sb 0.375 0.125 0.250
Sb 0.375 0.750 0.125
Sb 0.625 0.250 0.875
Sb 0.625 0.875 0.750
Sb 0.750 0.125 0.375
Sb 0.750 0.625 0.875
Sb 0.875 0.625 0.250
Sb 0.875 0.750 0.625
H 0.000 0.000 0.000
H 0.000 0.000 0.500
H 0.000 0.500 0.000
H 0.000 0.500 0.500
H 0.125 0.750 0.875
H 0.125 0.875 0.250
H 0.250 0.125 0.875
H 0.250 0.625 0.375
H 0.375 0.250 0.625
H 0.375 0.625 0.750
H 0.500 0.000 0.000
H 0.500 0.000 0.500
H 0.500 0.500 0.000
H 0.500 0.500 0.500
H 0.625 0.375 0.250
H 0.625 0.750 0.375
H 0.750 0.375 0.625
H 0.750 0.875 0.125
H 0.875 0.125 0.750
H 0.875 0.250 0.125

Properties
As for the magnetization: 0.0 Bohr magnetons per cell. Its space group is Ia-3d, No. 230. The total energy comes out at -97.71 eV/f.u.


Record 16
BaTc2Mo: relaxed, PBE.

Cell: 3.202 4.654 5.047 Å, 90.00 90.00 90.00°
Fractional positions:
Ba 0.000 0.000 0.000
Tc 0.000 0.500 0.500
Tc 0.500 0.500 0.000
Mo 0.500 0.000 0.500

Properties
As for the magnetization: 0.0 Bohr magnetons per cell. Its space group is Pmmm, No. 47. For the energy above the lowest structure with this stoichiometry, the calculation gives 759 meV/atom. The value obtained for the formation energy is 1.373 eV/atom.


Record 17
NiPbCl2: relaxed, PBE.

Cell: 3.615 3.615 8.603 Å, 90.00 90.00 124.03°
Fractional positions:
Ni 0.000 0.000 0.000
Pb 0.000 0.000 0.500
Cl 0.500 0.500 0.183
Cl 0.500 0.500 0.817

Properties
As for the magnetization: 1.2 Bohr magnetons per cell. The calculation puts the raw formation energy at -0.336 eV per atom. Its space group is Cmmm, No. 65. For the energy above the lowest structure with this stoichiometry, the calculation gives 136 meV/atom.


Record 18
LaPr6Th3: relaxed, PBE.

Cell: 10.739 5.787 11.733 Å, 90.00 95.07 90.00°
Fractional positions:
La 0.039 0.250 0.331
La 0.961 0.750 0.669
Pr 0.156 0.750 0.186
Pr 0.164 0.250 0.689
Pr 0.194 0.750 0.464
Pr 0.216 0.750 0.914
Pr 0.345 0.250 0.244
Pr 0.455 0.250 0.894
Pr 0.545 0.750 0.106
Pr 0.655 0.750 0.756
Pr 0.784 0.250 0.086
Pr 0.806 0.250 0.536
Pr 0.836 0.750 0.311
Pr 0.844 0.250 0.814
Th 0.101 0.250 0.017
Th 0.369 0.750 0.694
Th 0.467 0.250 0.566
Th 0.533 0.750 0.434
Th 0.631 0.250 0.306
Th 0.899 0.750 0.983

Properties
As for the magnetization: 0.0 Bohr magnetons per cell. Its space group is P2_1/m, No. 11. The value obtained for the formation energy is 0.163 eV/atom.


Record 19
CaGa9Tc2: relaxed, PBE.

Cell: 8.545 8.545 3.416 Å, 90.00 90.00 120.00°
Fractional positions:
Ca 0.000 0.000 0.000
Ga 0.000 0.500 0.000
Ga 0.193 0.386 0.500
Ga 0.193 0.807 0.500
Ga 0.386 0.193 0.500
Ga 0.500 0.000 0.000
Ga 0.500 0.500 0.000
Ga 0.614 0.807 0.500
Ga 0.807 0.193 0.500
Ga 0.807 0.614 0.500
Tc 0.333 0.667 0.000
Tc 0.667 0.333 0.000

Properties
As for the magnetization: 0.0 Bohr magnetons per cell. Its space group is P6/mmm, No. 191. The value obtained for the formation energy is -0.284 eV/atom.


Record 20
PaGa2Au4: relaxed, PBE.

Cell: 7.114 7.114 4.506 Å, 90.00 90.00 143.05°
Fractional positions:
Pa 0.000 0.000 0.000
Ga 0.412 0.588 0.500
Ga 0.588 0.412 0.500
Au 0.176 0.824 0.500
Au 0.324 0.676 0.000
Au 0.676 0.324 0.000
Au 0.824 0.176 0.500

Properties
As for the magnetization: 0.7 Bohr magnetons per cell. Its space group is Cmmm, No. 65. For the energy above the lowest structure with this stoichiometry, the calculation gives 59 meV/atom. The value obtained for the formation energy is -0.262 eV/atom.